VASP calculation (GGA-PBE) on a geometry-optimized Li2AlOs structure.

As for the volume: 52 Å³/cell. The total energy is -18.6 eV/cell.

Cell: 5.0080 5.0080 5.0080 Å, 148.16 127.23 62.96°
With the nearest neighbours (Å) after each atom.
Positions (direct):
Li  0.0000  0.0000  0.0000  2 Li 2.38, 2 Os 2.61, 4 Al 2.62
Li  0.7726  0.2726  0.5000  2 Li 2.38, 2 Al 2.56, 4 Os 2.62
Al  0.5194  0.5194  0.0000  6 Li 2.56-2.62, 2 Os 2.61, 2 Al 2.75
Os  0.2592  0.7592  0.5000  6 Li 2.61-2.62, 2 Al 2.61, 2 Os 2.75